Entry 1:
# LaMgTc2 (PBE, relaxed)
data_LaMgTc2
_space_group_name_H-M_alt 'C 1 2/m 1'
_space_group_IT_number 12
_cell_length_a 6.112
_cell_length_b 9.152
_cell_length_c 2.910
_cell_angle_alpha 90.00
_cell_angle_beta 113.30
_cell_angle_gamma 90.00
loop_
_space_group_symop_operation_xyz
'x,y,z'
'-x,-y,-z'
'-x,y,-z'
'x,-y,z'
'x+1/2,y+1/2,z'
'-x+1/2,-y+1/2,-z'
'-x+1/2,y+1/2,-z'
'x+1/2,-y+1/2,z'
loop_
_atom_site_label
_atom_site_type_symbol
_atom_site_fract_x
_atom_site_fract_y
_atom_site_fract_z
_atom_site_occupancy
La1 La 0.000 0.000 0.000 1
Mg1 Mg 0.000 0.500 0.000 1
Tc1 Tc 0.250 0.250 0.500 1
# - Formation enthalpy at 0 K: 473 meV per atom

=====

Entry 2:
# PaTlClO2 (PBE, relaxed)
data_PaTlClO2
_space_group_name_H-M_alt 'P 4 m m'
_space_group_IT_number 99
_cell_length_a 4.377
_cell_length_b 4.377
_cell_length_c 5.960
_cell_angle_alpha 90.00
_cell_angle_beta 90.00
_cell_angle_gamma 90.00
loop_
_space_group_symop_operation_xyz
'x,y,z'
'-y,x,z'
'-x,-y,z'
'y,-x,z'
'-x,y,z'
'y,x,z'
'x,-y,z'
'-y,-x,z'
loop_
_atom_site_label
_atom_site_type_symbol
_atom_site_fract_x
_atom_site_fract_y
_atom_site_fract_z
_atom_site_occupancy
Pa1 Pa 0.000 0.000 0.000 1
Tl1 Tl 0.500 0.500 0.627 1
Cl1 Cl 0.000 0.000 0.474 1
O1 O 0.000 0.500 0.948 1
# - Formation energy without anion corrections: -1071 kJ/mol of formula units

=====

Entry 3:
# Ac2MgTe (PBE, relaxed)
data_Ac2MgTe
_space_group_name_H-M_alt 'F m -3 m'
_space_group_IT_number 225
_space_group_name_Hall '-F 4 2 3'
_cell_length_a 8.235
_cell_length_b 8.235
_cell_length_c 8.235
_cell_angle_alpha 90.00
_cell_angle_beta 90.00
_cell_angle_gamma 90.00
loop_
_atom_site_label
_atom_site_type_symbol
_atom_site_fract_x
_atom_site_fract_y
_atom_site_fract_z
_atom_site_occupancy
Ac1 Ac 0.250 0.250 0.250 1
Mg1 Mg 0.000 0.000 0.000 1
Te1 Te 0.000 0.000 0.500 1
# - Formation energy without anion corrections: -194 kJ/mol of formula units
# - Offset from the most stable computed form: 56 kJ/mol of formula units

=====

Entry 4:
# Cs2GaAu (PBE, relaxed)
data_Cs2GaAu
_space_group_name_H-M_alt 'F m -3 m'
_space_group_IT_number 225
_space_group_name_Hall '-F 4 2 3'
_cell_length_a 8.869
_cell_length_b 8.869
_cell_length_c 8.869
_cell_angle_alpha 90.00
_cell_angle_beta 90.00
_cell_angle_gamma 90.00
loop_
_atom_site_label
_atom_site_type_symbol
_atom_site_fract_x
_atom_site_fract_y
_atom_site_fract_z
_atom_site_occupancy
Cs1 Cs 0.250 0.250 0.250 1
Ga1 Ga 0.000 0.000 0.000 1
Au1 Au 0.000 0.000 0.500 1
# - Formation enthalpy at 0 K: 128 meV per atom
# - Offset from the most stable computed form: 119 kJ/mol of formula units

=====

Entry 5:
# CrOsCl (PBE, relaxed)
data_CrOsCl
_space_group_name_H-M_alt 'F m m 2'
_space_group_IT_number 42
_space_group_name_Hall 'F 2 -2'
_cell_length_a 3.024
_cell_length_b 4.948
_cell_length_c 13.401
_cell_angle_alpha 90.00
_cell_angle_beta 90.00
_cell_angle_gamma 90.00
loop_
_atom_site_label
_atom_site_type_symbol
_atom_site_fract_x
_atom_site_fract_y
_atom_site_fract_z
_atom_site_occupancy
Cr1 Cr 0.000 0.000 0.000 1
Os1 Os 0.000 0.000 0.639 1
Cl1 Cl 0.000 0.000 0.364 1
# - Formation energy without anion corrections: 145 kJ/mol of formula units
# - Offset from the most stable computed form: 62 kJ/mol of formula units

=====

Entry 6:
# KAs2PdBr (PBE, relaxed)
data_KAs2PdBr
_space_group_name_H-M_alt 'P 4/m m m'
_space_group_IT_number 123
_space_group_name_Hall '-P 4 2'
_cell_length_a 6.531
_cell_length_b 6.531
_cell_length_c 5.901
_cell_angle_alpha 90.00
_cell_angle_beta 90.00
_cell_angle_gamma 90.00
loop_
_atom_site_label
_atom_site_type_symbol
_atom_site_fract_x
_atom_site_fract_y
_atom_site_fract_z
_atom_site_occupancy
K1 K 0.000 0.000 0.000 1
As1 As 0.000 0.500 0.000 1
Pd1 Pd 0.500 0.500 0.500 1
Br1 Br 0.000 0.000 0.500 1
# - Formation energy without anion corrections: 624 kJ/mol of formula units
# - Offset from the most stable computed form: 725 kJ/mol of formula units

=====

Entry 7:
# Pr3SnSb (PBE, relaxed)
data_Pr3SnSb
_space_group_name_H-M_alt 'P 1 21/m 1'
_space_group_IT_number 11
_cell_length_a 8.800
_cell_length_b 4.498
_cell_length_c 9.901
_cell_angle_alpha 90.00
_cell_angle_beta 114.16
_cell_angle_gamma 90.00
loop_
_space_group_symop_operation_xyz
'x,y,z'
'-x,-y,-z'
'-x,y+1/2,-z'
'x,-y+1/2,z'
loop_
_atom_site_label
_atom_site_type_symbol
_atom_site_fract_x
_atom_site_fract_y
_atom_site_fract_z
_atom_site_occupancy
Pr1 Pr 0.182 0.250 0.004 1
Pr2 Pr 0.184 0.250 0.625 1
Pr3 Pr 0.306 0.750 0.353 1
Sn1 Sn 0.007 0.250 0.249 1
Sb1 Sb 0.468 0.750 0.711 1
# - Formation energy without anion corrections: -340 kJ/mol of formula units

=====

Entry 8:
# Hf5NbAs3 (PBE, relaxed)
data_Hf5NbAs3
_space_group_name_H-M_alt 'C 1 2/m 1'
_space_group_IT_number 12
_cell_length_a 11.500
_cell_length_b 8.407
_cell_length_c 9.249
_cell_angle_alpha 90.00
_cell_angle_beta 112.63
_cell_angle_gamma 90.00
loop_
_space_group_symop_operation_xyz
'x,y,z'
'-x,-y,-z'
'-x,y,-z'
'x,-y,z'
'x+1/2,y+1/2,z'
'-x+1/2,-y+1/2,-z'
'-x+1/2,y+1/2,-z'
'x+1/2,-y+1/2,z'
loop_
_atom_site_label
_atom_site_type_symbol
_atom_site_fract_x
_atom_site_fract_y
_atom_site_fract_z
_atom_site_occupancy
Hf1 Hf 0.000 0.195 0.000 1
Hf2 Hf 0.021 0.000 0.325 1
Hf3 Hf 0.141 0.291 0.714 1
Hf4 Hf 0.247 0.000 0.942 1
Nb1 Nb 0.074 0.500 0.279 1
As1 As 0.000 0.500 0.000 1
As2 As 0.000 0.500 0.500 1
As3 As 0.178 0.000 0.187 1
As4 As 0.189 0.000 0.619 1
# - Formation enthalpy at 0 K: -259 meV per atom

=====

Entry 9:
# NbBiTe3 (PBE, relaxed)
data_NbBiTe3
_space_group_name_H-M_alt 'P m -3 m'
_space_group_IT_number 221
_space_group_name_Hall '-P 4 2 3'
_cell_length_a 5.436
_cell_length_b 5.436
_cell_length_c 5.436
_cell_angle_alpha 90.00
_cell_angle_beta 90.00
_cell_angle_gamma 90.00
loop_
_atom_site_label
_atom_site_type_symbol
_atom_site_fract_x
_atom_site_fract_y
_atom_site_fract_z
_atom_site_occupancy
Nb1 Nb 0.000 0.000 0.000 1
Bi1 Bi 0.500 0.500 0.500 1
Te1 Te 0.000 0.000 0.500 1
# - Formation energy without anion corrections: 120 kJ/mol of formula units
# - Offset from the most stable computed form: 113 kJ/mol of formula units

=====

Entry 10:
# KBa3Na3 (PBE, relaxed)
data_KBa3Na3
_space_group_name_H-M_alt 'P m -3 n'
_space_group_IT_number 223
_space_group_name_Hall '-P 4n 2 3'
_cell_length_a 10.269
_cell_length_b 10.269
_cell_length_c 10.269
_cell_angle_alpha 90.00
_cell_angle_beta 90.00
_cell_angle_gamma 90.00
loop_
_atom_site_label
_atom_site_type_symbol
_atom_site_fract_x
_atom_site_fract_y
_atom_site_fract_z
_atom_site_occupancy
K1 K 0.000 0.000 0.000 1
Ba1 Ba 0.000 0.250 0.500 1
Na1 Na 0.000 0.500 0.250 1
# - Formation enthalpy at 0 K: 438 meV per atom

=====

Entry 11:
# NdTm2Cd (PBE, relaxed)
data_NdTm2Cd
_space_group_name_H-M_alt 'F m -3 m'
_space_group_IT_number 225
_space_group_name_Hall '-F 4 2 3'
_cell_length_a 7.696
_cell_length_b 7.696
_cell_length_c 7.696
_cell_angle_alpha 90.00
_cell_angle_beta 90.00
_cell_angle_gamma 90.00
loop_
_atom_site_label
_atom_site_type_symbol
_atom_site_fract_x
_atom_site_fract_y
_atom_site_fract_z
_atom_site_occupancy
Nd1 Nd 0.000 0.000 0.000 1
Tm1 Tm 0.250 0.250 0.250 1
Cd1 Cd 0.000 0.000 0.500 1
# - Formation enthalpy at 0 K: 38 meV per atom
# - Offset from the most stable computed form: 72 kJ/mol of formula units

=====

Entry 12:
# Sm4PtSe5 (PBE, relaxed)
data_Sm4PtSe5
_space_group_name_H-M_alt 'C 1 2/m 1'
_space_group_IT_number 12
_cell_length_a 18.348
_cell_length_b 4.193
_cell_length_c 8.442
_cell_angle_alpha 90.00
_cell_angle_beta 107.27
_cell_angle_gamma 90.00
loop_
_space_group_symop_operation_xyz
'x,y,z'
'-x,-y,-z'
'-x,y,-z'
'x,-y,z'
'x+1/2,y+1/2,z'
'-x+1/2,-y+1/2,-z'
'-x+1/2,y+1/2,-z'
'x+1/2,-y+1/2,z'
loop_
_atom_site_label
_atom_site_type_symbol
_atom_site_fract_x
_atom_site_fract_y
_atom_site_fract_z
_atom_site_occupancy
Sm1 Sm 0.003 0.000 0.260 1
Sm2 Sm 0.182 0.500 0.129 1
Pt1 Pt 0.000 0.500 0.000 1
Se1 Se 0.000 0.500 0.500 1
Se2 Se 0.161 0.000 0.870 1
Se3 Se 0.163 0.000 0.342 1
# - Formation energy without anion corrections: -1502 kJ/mol of formula units